# Tb7YHo4 | Alexandria | GGA-PBE | relaxed
data_Tb7YHo4
_chemical_formula_sum 'Tb7 Y1 Ho4'
_symmetry_space_group_name_H-M 'P -1'
_symmetry_Int_Tables_number 2
_cell_length_a 6.203
_cell_length_b 7.166
_cell_length_c 8.823
_cell_angle_alpha 89.98
_cell_angle_beta 76.30
_cell_angle_gamma 89.91
loop_
_symmetry_equiv_pos_as_xyz
'x,y,z'
'-x,-y,-z'
loop_
_atom_site_label
_atom_site_type_symbol
_atom_site_fract_x
_atom_site_fract_y
_atom_site_fract_z
_atom_site_occupancy
Tb1 Tb 0.000 0.000 0.000 1
Tb2 Tb 0.222 0.500 0.334 1
Tb3 Tb 0.279 0.249 0.665 1
Tb4 Tb 0.500 0.248 0.000 1
Y1 Y 0.000 0.500 0.000 1
Ho1 Ho 0.220 0.000 0.334 1
Ho2 Ho 0.279 0.751 0.666 1
# E above lowest polymorph in meV/atom: 0.0
# Mass density in g cm⁻³: 8.11
# Energy relative to the elements in kJ/mol of formula units: -0.3

***

# TbSmIr | Alexandria | GGA-PBE | relaxed
data_TbSmIr
_chemical_formula_sum 'Tb1 Sm1 Ir1'
_symmetry_space_group_name_H-M 'P 3 m 1'
_symmetry_Int_Tables_number 156
_cell_length_a 4.1494
_cell_length_b 4.1494
_cell_length_c 6.2558
_cell_angle_alpha 90.00
_cell_angle_beta 90.00
_cell_angle_gamma 120.00
loop_
_symmetry_equiv_pos_as_xyz
'x,y,z'
'-y,x-y,z'
'-x+y,-x,z'
'-y,-x,z'
'-x+y,y,z'
'x,x-y,z'
loop_
_atom_site_label
_atom_site_type_symbol
_atom_site_fract_x
_atom_site_fract_y
_atom_site_fract_z
_atom_site_occupancy
Tb1 Tb 0.0000 0.0000 0.0000 1
Sm1 Sm 0.6667 0.3333 0.4578 1
Ir1 Ir 0.3333 0.6667 0.2231 1
# E above lowest polymorph in meV/atom: 99.0
# Mass density in g cm⁻³: 8.93
# Energy relative to the elements in kJ/mol of formula units: -152.4

***

# HoTiAu4 | Alexandria | GGA-PBE | relaxed
data_HoTiAu4
_chemical_formula_sum 'Ho1 Ti1 Au4'
_symmetry_space_group_name_H-M 'P 4/m m m'
_symmetry_Int_Tables_number 123
_symmetry_space_group_name_Hall '-P 4 2'
_cell_length_a 3.588
_cell_length_b 3.588
_cell_length_c 8.895
_cell_angle_alpha 90.00
_cell_angle_beta 90.00
_cell_angle_gamma 90.00
loop_
_atom_site_label
_atom_site_type_symbol
_atom_site_fract_x
_atom_site_fract_y
_atom_site_fract_z
_atom_site_occupancy
Ho1 Ho 0.000 0.000 0.000 1
Ti1 Ti 0.500 0.500 0.500 1
Au1 Au 0.000 0.000 0.344 1
Au2 Au 0.500 0.500 0.178 1
# Mass density in g cm⁻³: 14.51
# Energy relative to the elements in kJ/mol of formula units: -355.5

***

# Zn2As | Alexandria | GGA-PBE | relaxed
data_Zn2As
_chemical_formula_sum 'Zn8 As4'
_symmetry_space_group_name_H-M 'C 1 2/m 1'
_symmetry_Int_Tables_number 12
_cell_length_a 10.665
_cell_length_b 3.595
_cell_length_c 7.324
_cell_angle_alpha 90.00
_cell_angle_beta 128.90
_cell_angle_gamma 90.00
loop_
_symmetry_equiv_pos_as_xyz
'x,y,z'
'-x,-y,-z'
'-x,y,-z'
'x,-y,z'
'x+1/2,y+1/2,z'
'-x+1/2,-y+1/2,-z'
'-x+1/2,y+1/2,-z'
'x+1/2,-y+1/2,z'
loop_
_atom_site_label
_atom_site_type_symbol
_atom_site_fract_x
_atom_site_fract_y
_atom_site_fract_z
_atom_site_occupancy
Zn1 Zn 0.016 0.000 0.188 1
Zn2 Zn 0.224 0.500 0.127 1
As1 As 0.117 0.500 0.508 1
# E above lowest polymorph in meV/atom: 71.6
# Mass density in g cm⁻³: 6.25
# Energy relative to the elements in kJ/mol of formula units: 26.3

***

# YSiMo2 | Alexandria | GGA-PBE | relaxed
data_YSiMo2
_chemical_formula_sum 'Y2 Si2 Mo4'
_symmetry_space_group_name_H-M 'C m m m'
_symmetry_Int_Tables_number 65
_symmetry_space_group_name_Hall '-C 2 2'
_cell_length_a 5.688
_cell_length_b 8.844
_cell_length_c 2.810
_cell_angle_alpha 90.00
_cell_angle_beta 90.00
_cell_angle_gamma 90.00
loop_
_atom_site_label
_atom_site_type_symbol
_atom_site_fract_x
_atom_site_fract_y
_atom_site_fract_z
_atom_site_occupancy
Y1 Y 0.000 0.000 0.000 1
Si1 Si 0.000 0.500 0.000 1
Mo1 Mo 0.250 0.250 0.500 1
# Mass density in g cm⁻³: 7.26
# Formation energy without anion corrections in meV/atom: 440.2

***

# YCu | Alexandria | GGA-PBE | relaxed
data_YCu
_chemical_formula_sum 'Y8 Cu8'
_symmetry_space_group_name_H-M 'I -4 3 m'
_symmetry_Int_Tables_number 217
_symmetry_space_group_name_Hall 'I -4 2 3'
_cell_length_a 8.177
_cell_length_b 8.177
_cell_length_c 8.177
_cell_angle_alpha 90.00
_cell_angle_beta 90.00
_cell_angle_gamma 90.00
loop_
_atom_site_label
_atom_site_type_symbol
_atom_site_fract_x
_atom_site_fract_y
_atom_site_fract_z
_atom_site_occupancy
Y1 Y 0.203 0.203 0.797 1
Cu1 Cu 0.109 0.109 0.109 1
# Mass density in g cm⁻³: 3.70
# Energy relative to the elements in kJ/mol of formula units: 96.9

***

# LaCdRu | Alexandria | GGA-PBE | relaxed
data_LaCdRu
_chemical_formula_sum 'La4 Cd4 Ru4'
_symmetry_space_group_name_H-M 'C m c m'
_symmetry_Int_Tables_number 63
_symmetry_space_group_name_Hall '-C 2c 2'
_cell_length_a 4.217
_cell_length_b 17.258
_cell_length_c 4.173
_cell_angle_alpha 90.00
_cell_angle_beta 90.00
_cell_angle_gamma 90.00
loop_
_atom_site_label
_atom_site_type_symbol
_atom_site_fract_x
_atom_site_fract_y
_atom_site_fract_z
_atom_site_occupancy
La1 La 0.000 0.097 0.250 1
Cd1 Cd 0.000 0.296 0.250 1
Ru1 Ru 0.000 0.464 0.250 1
# Mass density in g cm⁻³: 7.71
# Energy relative to the elements in kJ/mol of formula units: -64.5

***

# BaZr3Br | Alexandria | GGA-PBE | relaxed
data_BaZr3Br
_chemical_formula_sum 'Ba1 Zr3 Br1'
_symmetry_space_group_name_H-M 'P m -3 m'
_symmetry_Int_Tables_number 221
_symmetry_space_group_name_Hall '-P 4 2 3'
_cell_length_a 5.229
_cell_length_b 5.229
_cell_length_c 5.229
_cell_angle_alpha 90.00
_cell_angle_beta 90.00
_cell_angle_gamma 90.00
loop_
_atom_site_label
_atom_site_type_symbol
_atom_site_fract_x
_atom_site_fract_y
_atom_site_fract_z
_atom_site_occupancy
Ba1 Ba 0.000 0.000 0.000 1
Zr1 Zr 0.000 0.500 0.500 1
Br1 Br 0.500 0.500 0.500 1
# E above lowest polymorph in meV/atom: 0.0
# Mass density in g cm⁻³: 5.70
# Formation energy without anion corrections in meV/atom: 425.5

***

# Ac2PaAlN4 | Alexandria | GGA-PBE | relaxed
data_Ac2PaAlN4
_chemical_formula_sum 'Ac4 Pa2 Al2 N8'
_symmetry_space_group_name_H-M 'I -4 2 m'
_symmetry_Int_Tables_number 121
_symmetry_space_group_name_Hall 'I -4 2'
_cell_length_a 6.475
_cell_length_b 6.475
_cell_length_c 6.234
_cell_angle_alpha 90.00
_cell_angle_beta 90.00
_cell_angle_gamma 90.00
loop_
_atom_site_label
_atom_site_type_symbol
_atom_site_fract_x
_atom_site_fract_y
_atom_site_fract_z
_atom_site_occupancy
Ac1 Ac 0.000 0.500 0.000 1
Pa1 Pa 0.000 0.000 0.000 1
Al1 Al 0.000 0.000 0.500 1
N1 N 0.160 0.160 0.291 1
# Mass density in g cm⁻³: 9.76
# Formation energy without anion corrections in meV/atom: -724.6

***

# LiMoCl6 | Alexandria | GGA-PBE | relaxed
data_LiMoCl6
_chemical_formula_sum 'Li2 Mo2 Cl12'
_symmetry_space_group_name_H-M 'C 1 2/m 1'
_symmetry_Int_Tables_number 12
_cell_length_a 6.638
_cell_length_b 11.624
_cell_length_c 6.595
_cell_angle_alpha 90.00
_cell_angle_beta 115.79
_cell_angle_gamma 90.00
loop_
_symmetry_equiv_pos_as_xyz
'x,y,z'
'-x,-y,-z'
'-x,y,-z'
'x,-y,z'
'x+1/2,y+1/2,z'
'-x+1/2,-y+1/2,-z'
'-x+1/2,y+1/2,-z'
'x+1/2,-y+1/2,z'
loop_
_atom_site_label
_atom_site_type_symbol
_atom_site_fract_x
_atom_site_fract_y
_atom_site_fract_z
_atom_site_occupancy
Li1 Li 0.000 0.000 0.000 1
Mo1 Mo 0.000 0.500 0.500 1
Cl1 Cl 0.207 0.500 0.296 1
Cl2 Cl 0.240 0.357 0.743 1
# E above lowest polymorph in meV/atom: 0.0
# Mass density in g cm⁻³: 2.29
# Formation energy without anion corrections in meV/atom: -1025.5

***

# Mg2TaCu | Alexandria | GGA-PBE | relaxed
data_Mg2TaCu
_chemical_formula_sum 'Mg4 Ta2 Cu2'
_symmetry_space_group_name_H-M 'I 4/m m m'
_symmetry_Int_Tables_number 139
_symmetry_space_group_name_Hall '-I 4 2'
_cell_length_a 3.972
_cell_length_b 3.972
_cell_length_c 8.873
_cell_angle_alpha 90.00
_cell_angle_beta 90.00
_cell_angle_gamma 90.00
loop_
_atom_site_label
_atom_site_type_symbol
_atom_site_fract_x
_atom_site_fract_y
_atom_site_fract_z
_atom_site_occupancy
Mg1 Mg 0.000 0.500 0.250 1
Ta1 Ta 0.000 0.000 0.000 1
Cu1 Cu 0.000 0.000 0.500 1
# E above lowest polymorph in meV/atom: 398.0
# Mass density in g cm⁻³: 6.95
# Energy relative to the elements in kJ/mol of formula units: 189.3

***

# Y2HoGe2Rh5 | Alexandria | GGA-PBE | relaxed
data_Y2HoGe2Rh5
_chemical_formula_sum 'Y4 Ho2 Ge4 Rh10'
_symmetry_space_group_name_H-M 'P 4/m b m'
_symmetry_Int_Tables_number 127
_symmetry_space_group_name_Hall '-P 4 2ab'
_cell_length_a 9.969
_cell_length_b 9.969
_cell_length_c 3.659
_cell_angle_alpha 90.00
_cell_angle_beta 90.00
_cell_angle_gamma 90.00
loop_
_atom_site_label
_atom_site_type_symbol
_atom_site_fract_x
_atom_site_fract_y
_atom_site_fract_z
_atom_site_occupancy
Y1 Y 0.173 0.327 0.000 1
Ho1 Ho 0.000 0.000 0.000 1
Ge1 Ge 0.123 0.623 0.000 1
Rh1 Rh 0.000 0.500 0.500 1
Rh2 Rh 0.070 0.784 0.500 1
# Mass density in g cm⁻³: 9.16
# Energy relative to the elements in kJ/mol of formula units: -833.5

***

| no. | calculated volume (Å³ per atom) | size of the total moment (Bohr magnetons per cell) | raw total energy (eV/atom) |
| --- | --- | --- | --- |
| 1 | 31.75 | 0.00 | -4.766 |
| 2 | 31.09 | 0.00 | -6.597 |
| 3 | 19.09 | 0.44 | -4.878 |
| 4 | 18.21 | 0.00 | -2.308 |
| 5 | 17.67 | 0.00 | -7.947 |
| 6 | 34.17 | 0.00 | -4.778 |
| 7 | 25.31 | 0.00 | -5.262 |
| 8 | 28.60 | 0.00 | -5.423 |
| 9 | 16.34 | 2.24 | -7.569 |
| 10 | 28.63 | 2.01 | -4.004 |
| 11 | 17.50 | 0.00 | -4.294 |
| 12 | 18.18 | 0.00 | -7.214 |